1.
Compound: TbPr2Nd2
Source: Alexandria via LeMat-Bulk
Functional: PBE-GGA
Structure: relaxed

Cell lengths 6.4085, 6.9823, 8.9593 Å; angles 112.93, 90.00, 90.00 degrees
Atoms (fractional coordinates):
Pr  0.2500  0.5956  0.1912
Tb  0.5000  0.0000  0.0000
Nd  0.7500  0.9303  0.3383
Nd  0.2500  0.0697  0.6617
Pr  0.7500  0.4044  0.8088
Tb  0.0000  0.0000  0.0000
Pr  0.7500  0.8306  0.6612
Nd  0.2500  0.5920  0.6617
Pr  0.2500  0.1694  0.3388
Nd  0.7500  0.4080  0.3383

Computed properties:
For the energy of formation, the calculation gives 273.8 meV/atom. For the offset from the most stable computed form, the calculation gives 0.138 eV/atom. As for the space group: Cmcm.



2.
Compound: TbSc2V
Source: Alexandria via LeMat-Bulk
Functional: PBE-GGA
Structure: relaxed

Cell lengths 3.4256, 3.4256, 8.1226 Å; angles 90.00, 90.00, 90.00 degrees
Site moments in Bohr magnetons follow the coordinates.
Atoms (fractional coordinates):
V  0.5000  0.5000  0.0000  2.13
Sc  0.0000  0.0000  0.1961  0.17
Tb  0.5000  0.5000  0.5000  0.05
Sc  0.0000  0.0000  0.8039  0.17

Computed properties:
For the energy of formation, the calculation gives 171.6 meV/atom. For the offset from the most stable computed form, the calculation gives 0.000 eV/atom. As for the space group: P4/mmm.



3.
Compound: Sr2CrSi3Pt12
Source: Alexandria via LeMat-Bulk
Functional: PBE-GGA
Structure: relaxed

Cell lengths 7.7995, 7.7995, 7.7995 Å; angles 63.73, 63.73, 63.73 degrees
Site moments in Bohr magnetons follow the coordinates.
Atoms (fractional coordinates):
Pt  0.6485  0.0979  0.6485  0.01
Pt  0.9021  0.3515  0.3515  0.01
Pt  0.6292  0.1235  0.1235  0.02
Si  0.0000  0.5000  0.0000  0.00
Pt  0.3708  0.8765  0.8765  0.02
Pt  0.0979  0.6485  0.6485  0.01
Si  0.0000  0.0000  0.5000  0.00
Pt  0.8765  0.8765  0.3708  0.02
Pt  0.1235  0.6292  0.1235  0.02
Cr  0.0000  0.0000  0.0000  2.76
Sr  0.6114  0.6114  0.6114  0.01
Pt  0.6485  0.6485  0.0979  0.01
Sr  0.3886  0.3886  0.3886  0.01
Pt  0.8765  0.3708  0.8765  0.02
Si  0.5000  0.0000  0.0000  0.00
Pt  0.3515  0.3515  0.9021  0.01
Pt  0.3515  0.9021  0.3515  0.01
Pt  0.1235  0.1235  0.6292  0.02

Computed properties:
Its raw formation energy is -0.354 eV per atom. As for the space group: R-3m.



4.
Compound: PmPr2NdTm5
Source: Alexandria via LeMat-Bulk
Functional: PBE-GGA
Structure: relaxed

Cell lengths 8.6891, 8.6891, 9.9080 Å; angles 116.01, 116.01, 90.00 degrees
Atoms (fractional coordinates):
Pr  0.6177  0.1177  0.0000
Tm  0.4280  0.3490  0.2770
Pr  0.8823  0.6177  0.0000
Tm  0.0000  0.0000  0.0000
Nd  0.7500  0.7500  0.5000
Tm  0.5000  0.5000  0.0000
Tm  0.9280  0.4280  0.2770
Tm  0.1510  0.0720  0.7230
Pm  0.7500  0.2500  0.5000
Pr  0.3823  0.8823  0.0000
Tm  0.5720  0.6510  0.7230
Tm  0.6510  0.1510  0.7230
Pr  0.1177  0.3823  0.0000
Pm  0.2500  0.7500  0.5000
Tm  0.3490  0.8490  0.2770
Tm  0.8490  0.9280  0.2770
Tm  0.0720  0.5720  0.7230
Nd  0.2500  0.2500  0.5000

Computed properties:
For the energy of formation, the calculation gives 251.3 meV/atom. As for the space group: I4/mcm.



5.
Compound: LaVSbTe2
Source: Alexandria via LeMat-Bulk
Functional: PBE-GGA
Structure: relaxed

Cell lengths 5.3961, 5.3961, 5.0878 Å; angles 90.00, 90.00, 90.00 degrees
Site moments in Bohr magnetons follow the coordinates.
Atoms (fractional coordinates):
La  0.5000  0.5000  0.5000  0.04
Sb  0.0000  0.0000  0.5000  -0.10
Te  0.0000  0.5000  0.0000  -0.03
V  0.0000  0.0000  0.0000  1.60
Te  0.5000  0.0000  0.0000  -0.03

Computed properties:
Its raw formation energy is -0.391 eV per atom. As for the space group: P4/mmm.



6.
Compound: MgPbI3
Source: Alexandria via LeMat-Bulk
Functional: PBE-GGA
Structure: relaxed

Cell lengths 6.2841, 6.2841, 6.2841 Å; angles 90.00, 90.00, 90.00 degrees
Site moments in Bohr magnetons follow the coordinates.
Atoms (fractional coordinates):
Mg  0.5000  0.5000  0.5000  0.20
I  0.0000  0.5000  0.0000  0.04
Pb  0.0000  0.0000  0.0000  0.00
I  0.0000  0.0000  0.5000  0.03
I  0.5000  0.0000  0.0000  0.03

Computed properties:
For the offset from the most stable computed form, the calculation gives 0.223 eV/atom. Its raw formation energy is -0.202 eV per atom. As for the space group: Pm-3m.



7.
Compound: Pr6Te5H
Source: Alexandria via LeMat-Bulk
Functional: PBE-GGA
Structure: relaxed

Cell lengths 7.7280, 7.7093, 7.6706 Å; angles 59.83, 80.06, 69.92 degrees
Atoms (fractional coordinates):
Pr  0.7707  0.3839  0.6890
Te  0.0000  0.6619  0.6763
Te  0.5000  0.1816  0.6369
Pr  0.2293  0.9271  0.6890
Pr  0.7707  0.0729  0.3110
H  0.0000  0.0000  0.0000
Te  0.5000  0.5000  0.0000
Pr  0.2589  0.2344  0.0000
Te  0.0000  0.3381  0.3237
Pr  0.7411  0.7656  0.0000
Pr  0.2293  0.6161  0.3110
Te  0.5000  0.8184  0.3631

Computed properties:
The value obtained for the electronic total energy is -5.154 eV per atom. As for the space group: C2/m.



8.
Compound: In2NiHg
Source: Alexandria via LeMat-Bulk
Functional: PBE-GGA
Structure: relaxed

Cell lengths 3.7473, 3.7473, 7.7638 Å; angles 76.03, 76.03, 60.00 degrees
Atoms (fractional coordinates):
Ni  0.6658  0.6658  0.0027
In  0.0668  0.0668  0.7996
In  0.2676  0.2676  0.1972
Hg  0.4998  0.4998  0.5005

Computed properties:
For the energy of formation, the calculation gives 94.2 meV/atom. As for the space group: R3m.



9.
Compound: Ho4AgIr
Source: Alexandria via LeMat-Bulk
Functional: PBE-GGA
Structure: relaxed

Cell lengths 7.8831, 7.8831, 7.8831 Å; angles 106.31, 106.31, 116.00 degrees
Atoms (fractional coordinates):
Ho  0.7332  0.0256  0.2923
Ho  0.2671  0.5722  0.3052
Ho  0.7119  0.5171  0.1948
Ho  0.7756  0.9832  0.7923
Ir  0.5031  0.0031  0.5000
Ho  0.1909  0.9832  0.2077
Ho  0.2671  0.9619  0.6948
Ag  0.9963  0.4963  0.5000
Ho  0.3222  0.5171  0.8052
Ag  0.2463  0.2463  0.0000
Ho  0.7332  0.4409  0.7077
Ir  0.7531  0.7531  0.0000

Computed properties:
For the energy of formation, the calculation gives -260.7 meV/atom. For the offset from the most stable computed form, the calculation gives 0.248 eV/atom. As for the space group: I4_1md.



10.
Compound: Sb3Cl
Source: Alexandria via LeMat-Bulk
Functional: PBE-GGA
Structure: relaxed

Cell lengths 4.7156, 3.1965, 7.0492 Å; angles 91.88, 90.00, 90.00 degrees
Atoms (fractional coordinates):
Sb  0.0000  0.5000  0.5000
Sb  0.5000  0.5550  0.7773
Cl  0.0000  0.0000  0.0000
Sb  0.5000  0.4450  0.2227

Computed properties:
For the offset from the most stable computed form, the calculation gives 0.000 eV/atom. Its raw formation energy is -0.056 eV per atom. As for the space group: P2/m.



11.
Compound: LiMgMn2
Source: Alexandria via LeMat-Bulk
Functional: PBE-GGA
Structure: relaxed

Cell lengths 9.6004, 9.6004, 9.6004 Å; angles 17.05, 17.05, 17.05 degrees
Site moments in Bohr magnetons follow the coordinates.
Atoms (fractional coordinates):
Mg  0.7500  0.7500  0.7500  -0.02
Mn  0.5014  0.5014  0.5014  3.56
Mn  0.9986  0.9986  0.9986  3.56
Li  0.2500  0.2500  0.2500  -0.05

Computed properties:
For the energy of formation, the calculation gives 403.6 meV/atom. As for the space group: R-3m.



12.
Compound: AcGaSn3
Source: Alexandria via LeMat-Bulk
Functional: PBE-GGA
Structure: relaxed

Cell lengths 4.3925, 4.8939, 13.9979 Å; angles 100.07, 90.00, 90.00 degrees
Atoms (fractional coordinates):
Ac  0.5000  0.8312  0.6623
Sn  0.5000  0.5574  0.1148
Ga  0.0000  0.3767  0.7535
Sn  0.0000  0.2784  0.5569
Ga  0.0000  0.6233  0.2465
Sn  0.0000  0.0594  0.1188
Sn  0.0000  0.9406  0.8812
Sn  0.5000  0.4426  0.8852
Ac  0.5000  0.1688  0.3377
Sn  0.0000  0.7216  0.4431

Computed properties:
For the energy of formation, the calculation gives -312.2 meV/atom. As for the space group: Cmmm.



| no. | D(E_F) (states/eV per cell) |
| --- | --- |
| 1 | 15.18 |
| 2 | 4.84 |
| 3 | 8.80 |
| 4 | 18.99 |
| 5 | 5.60 |
| 6 | 0.08 |
| 7 | 9.85 |
| 8 | 1.32 |
| 9 | 12.12 |
| 10 | 1.80 |
| 11 | 2.73 |
| 12 | 5.15 |